{"formula": "CdCu2Au6", "functional": "PBE-GGA", "state": "relaxed", "ef_ev_per_atom": -0.0432, "lattice": [[3.923, 0.000, 0.000], [1.962, 4.589, -0.055], [1.962, 2.119, 8.588]], "species": ["Cd", "Cu", "Cu", "Au", "Au", "Au", "Au", "Au", "Au"], "frac_coords": [[0.000, 0.500, 0.500], [0.320, 0.621, 0.739], [0.680, 0.379, 0.261], [0.665, 0.726, 0.945], [0.335, 0.274, 0.055], [0.006, 0.810, 0.178], [0.326, 0.962, 0.386], [0.994, 0.190, 0.822], [0.674, 0.038, 0.614]]}


{"formula": "PmY2Pu", "functional": "PBE-GGA", "state": "relaxed", "polymorph_energy_mev_per_atom": 103.4, "ef_ev_per_atom": 0.2130, "lattice": [[5.656, 0.000, 0.000], [2.828, 4.899, 0.000], [2.828, 1.633, 4.619]], "species": ["Y", "Y", "Pm", "Pu"], "frac_coords": [[0.250, 0.250, 0.250], [0.750, 0.750, 0.750], [0.500, 0.500, 0.500], [0.000, 0.000, 0.000]]}


{"formula": "Ca2TlTeIr", "functional": "PBE-GGA", "state": "relaxed", "e_form_raw_kj_per_mol_atoms": -50.9, "lattice": [[5.460, 0.000, 0.000], [0.000, 5.460, 0.000], [0.000, 0.000, 5.195]], "species": ["Tl", "Ir", "Te", "Ca", "Ca"], "frac_coords": [[0.000, 0.000, 0.500], [0.000, 0.000, 0.000], [0.500, 0.500, 0.500], [0.000, 0.500, 0.000], [0.500, 0.000, 0.000]]}


{"formula": "LaMgPt2", "functional": "PBE-GGA", "state": "relaxed", "ef_ev_per_atom": -0.5648, "lattice": [[4.875, 0.000, 0.000], [2.438, 4.222, 0.000], [2.438, 1.407, 3.981]], "species": ["La", "Mg", "Pt", "Pt"], "frac_coords": [[0.500, 0.500, 0.500], [0.750, 0.750, 0.750], [0.000, 0.000, 0.000], [0.250, 0.250, 0.250]]}


{"formula": "Ce2Pm3ThS6", "functional": "PBE-GGA", "state": "relaxed", "e_form_raw_kj_per_mol_atoms": -193.3, "lattice": [[4.030, 0.000, 0.000], [0.000, 8.068, 0.261], [-2.015, -2.353, 8.478]], "species": ["Ce", "Ce", "Pm", "Pm", "Pm", "Th", "S", "S", "S", "S", "S", "S"], "frac_coords": [[0.834, 0.667, 0.667], [0.166, 0.333, 0.333], [0.500, 0.500, 0.000], [0.834, 0.167, 0.668], [0.166, 0.833, 0.332], [0.500, 0.000, 0.000], [0.333, 0.917, 0.665], [0.667, 0.583, 0.334], [0.667, 0.083, 0.335], [0.000, 0.252, 0.000], [0.000, 0.748, 0.000], [0.333, 0.417, 0.666]]}


{"formula": "SrLa3Pb4", "functional": "PBE-GGA", "state": "relaxed", "ef_ev_per_atom": -0.5288, "lattice": [[-2.854, 1.902, 4.733], [-5.687, -5.034, -1.407], [5.405, -7.905, 6.436]], "species": ["Pb", "Pb", "Pb", "Pb", "Pb", "Pb", "Pb", "Pb", "Sr", "Sr", "La", "La", "La", "La", "La", "La"], "frac_coords": [[0.500, 0.752, 0.000], [0.500, 0.752, 0.500], [0.500, 0.248, 0.000], [0.500, 0.248, 0.500], [0.101, 0.753, 0.750], [0.899, 0.753, 0.250], [0.899, 0.247, 0.250], [0.101, 0.247, 0.750], [0.000, 0.500, 0.000], [0.000, 0.500, 0.500], [0.000, 0.000, 0.000], [0.000, 0.000, 0.500], [0.595, 0.000, 0.750], [0.405, 0.000, 0.250], [0.590, 0.500, 0.750], [0.410, 0.500, 0.250]]}


| no. | N(E_F) (states/eV/cell) | spin magnetization (Bohr magnetons per cell) | calculated total energy (Ry per atom) |
| --- | --- | --- | --- |
| 1 | 2.7 | 0.00 | -0.238 |
| 2 | 11.9 | 6.45 | -0.573 |
| 3 | 0.9 | 0.00 | -0.309 |
| 4 | 2.5 | 0.00 | -0.383 |
| 5 | 13.9 | 1.60 | -0.504 |
| 6 | 10.2 | 0.00 | -0.326 |